# 1
## Sc2InAg (PBE)

Data for crystalline Sc2InAg at its relaxed geometry.

* final energy: -36.6 eV per cell
* space group: P6_3/mmc

Cell: 4.8031 4.8031 9.5085 Å, 90.00 90.00 120.00°
Last column: nearest neighbours and their distance in Å.
Sites, in units of the cell vectors:
Sc 0.3333 0.6667 0.0883  3 Ag 2.90, 4 Sc 3.08-3.24, 4 In 3.17-3.22
Sc 0.3333 0.6667 0.4117  3 Ag 2.90, 4 Sc 3.08-3.24, 4 In 3.17-3.22
Sc 0.6667 0.3333 0.5883  3 Ag 2.90, 4 Sc 3.08-3.24, 4 In 3.17-3.22
Sc 0.6667 0.3333 0.9117  3 Ag 2.90, 4 Sc 3.08-3.24, 4 In 3.17-3.22
In 0.3333 0.6667 0.7500  8 Sc 3.17-3.22
In 0.6667 0.3333 0.2500  8 Sc 3.17-3.22
Ag 0.0000 0.0000 0.0000  6 Sc 2.90
Ag 0.0000 0.0000 0.5000  6 Sc 2.90

# 2
## Sc2InAg (PBE)

Data for crystalline Sc2InAg at its relaxed geometry.

* final energy: -37.2 eV per cell
* space group: P6_3/mmc

Cell: 4.7517 4.7517 9.2297 Å, 90.00 90.00 120.00°
Last column: nearest neighbours and their distance in Å.
Sites, in units of the cell vectors:
Sc 0.3333 0.6667 0.0895  4 Sc 2.96-3.20, 3 In 3.12, 4 Ag 3.12-3.13
Sc 0.3333 0.6667 0.4105  4 Sc 2.96-3.20, 3 In 3.12, 4 Ag 3.12-3.13
Sc 0.6667 0.3333 0.5895  4 Sc 2.96-3.20, 3 In 3.12, 4 Ag 3.12-3.13
Sc 0.6667 0.3333 0.9105  4 Sc 2.96-3.20, 3 In 3.12, 4 Ag 3.12-3.13
In 0.0000 0.0000 0.2500  3 Ag 2.74
In 0.0000 0.0000 0.7500  3 Ag 2.74
Ag 0.3333 0.6667 0.7500  3 In 2.74
Ag 0.6667 0.3333 0.2500  3 In 2.74